1.
Compound: PrSm6Y2Tm3
Source: Alexandria
Functional: PBE
Structure: optimized geometry

E_form, meV/atom: 18
Raw total energy, eV per cell: -118.45

Cell: 6.228 10.784 11.852 Å, 90.00 100.05 90.00°
Space group C2/m (No. 12)
Unique sites:
Pr  0.000  0.000  0.000 (multiplicity 2)
Sm  0.248  0.333  0.746 (multiplicity 8)
Sm  0.249  0.000  0.746 (multiplicity 4)
Y  0.000  0.333  0.000 (multiplicity 4)
Tm  0.000  0.167  0.500 (multiplicity 4)
Tm  0.000  0.500  0.500 (multiplicity 2)

---

2.
Compound: ScTa4
Source: Alexandria
Functional: PBE
Structure: optimized geometry

E_form, meV/atom: 547
Relative energy among the computed polymorphs, meV per atom: 0
Raw total energy, eV per cell: -102.02

Cell: 4.015 4.015 13.018 Å, 90.00 90.00 90.00°
Space group I4/mmm (No. 139)
Unique sites:
Sc  0.000  0.000  0.000 (multiplicity 2)
Ta  0.000  0.000  0.399 (multiplicity 4)
Ta  0.000  0.500  0.250 (multiplicity 4)

---

3.
Compound: La3Y6Ho2Pu
Source: Alexandria
Functional: PBE
Structure: optimized geometry

E_form, meV/atom: 48
Raw total energy, eV per cell: -152.97

Cell: 6.227 10.791 11.834 Å, 90.00 100.12 90.00°
Space group C2/m (No. 12)
Unique sites:
La  0.000  0.000  0.000 (multiplicity 2)
La  0.000  0.333  0.000 (multiplicity 4)
Y  0.246  0.335  0.743 (multiplicity 8)
Y  0.248  0.500  0.257 (multiplicity 4)
Ho  0.000  0.167  0.500 (multiplicity 4)
Pu  0.000  0.500  0.500 (multiplicity 2)

---

4.
Compound: BaNb2Si
Source: Alexandria
Functional: PBE
Structure: optimized geometry

Raw total energy, eV per cell: -100.00
Raw formation energy, meV/atom: 621

Cell: 4.788 4.788 19.160 Å, 90.00 90.00 90.00°
Space group I-42d (No. 122)
Unique sites:
Ba  0.000  0.000  0.000 (multiplicity 4)
Nb  0.080  0.750  0.625 (multiplicity 8)
Si  0.000  0.000  0.500 (multiplicity 4)

---

5.
Compound: Nb2PbS6
Source: Alexandria
Functional: PBE
Structure: optimized geometry

Raw total energy, eV per cell: -109.31
Raw formation energy, meV/atom: -672

Cell: 12.132 4.648 8.998 Å, 90.00 114.53 90.00°
Space group C2/m (No. 12)
Unique sites:
Nb  0.182  0.000  0.132 (multiplicity 4)
Pb  0.000  0.000  0.500 (multiplicity 2)
S  0.011  0.000  0.181 (multiplicity 4)
S  0.171  0.500  0.608 (multiplicity 4)
S  0.195  0.500  0.048 (multiplicity 4)

---

6.
Compound: Ac2Al4Ga3Au
Source: Alexandria
Functional: PBE
Structure: optimized geometry

E_form, meV/atom: -523
Raw total energy, eV per cell: -40.77

Cell: 4.519 4.519 10.727 Å, 90.00 90.00 90.00°
Space group P-4m2 (No. 115)
Unique sites:
Ac  0.000  0.500  0.247 (multiplicity 2)
Al  0.000  0.000  0.500 (multiplicity 1)
Al  0.000  0.500  0.876 (multiplicity 2)
Al  0.500  0.500  0.500 (multiplicity 1)
Ga  0.000  0.000  0.000 (multiplicity 1)
Ga  0.000  0.500  0.634 (multiplicity 2)
Au  0.500  0.500  0.000 (multiplicity 1)

---

7.
Compound: Li6OF4
Source: Alexandria
Functional: PBE
Structure: optimized geometry

Raw total energy, eV per cell: -209.58
Raw formation energy, meV/atom: -2588

Cell: 2.863 9.557 13.983 Å, 90.00 90.00 90.00°
Space group Cmcm (No. 63)
Unique sites:
Li  0.000  0.000  0.000 (multiplicity 4)
Li  0.000  0.209  0.250 (multiplicity 4)
Li  0.000  0.272  0.591 (multiplicity 8)
Li  0.000  0.438  0.171 (multiplicity 8)
O  0.000  0.161  0.750 (multiplicity 4)
F  0.000  0.095  0.133 (multiplicity 8)
F  0.000  0.363  0.043 (multiplicity 8)

---

8.
Compound: LiCd5Pd2
Source: Alexandria
Functional: PBE
Structure: optimized geometry

E_form, meV/atom: -301
Relative energy among the computed polymorphs, meV per atom: 0
Raw total energy, eV per cell: -38.56

Cell: 5.827 11.673 4.321 Å, 90.00 90.00 90.00°
Space group Pbam (No. 55)
Unique sites:
Li  0.000  0.000  0.000 (multiplicity 2)
Cd  0.000  0.500  0.000 (multiplicity 2)
Cd  0.054  0.243  0.000 (multiplicity 4)
Cd  0.202  0.885  0.500 (multiplicity 4)
Pd  0.208  0.628  0.500 (multiplicity 4)

---

9.
Compound: Al2PSeF
Source: Alexandria
Functional: PBE
Structure: optimized geometry

Raw total energy, eV per cell: -20.36
Raw formation energy, meV/atom: -423

Cell: 4.850 4.850 3.898 Å, 90.00 90.00 90.00°
Space group P4/mmm (No. 123)
Unique sites:
Al  0.000  0.500  0.000 (multiplicity 2)
P  0.000  0.000  0.000 (multiplicity 1)
Se  0.500  0.500  0.500 (multiplicity 1)
F  0.000  0.000  0.500 (multiplicity 1)

---

10.
Compound: K2Rh2F7
Source: Alexandria
Functional: PBE
Structure: optimized geometry

Raw total energy, eV per cell: -102.45
Raw formation energy, meV/atom: -1930

Cell: 6.779 13.381 4.989 Å, 90.00 127.36 90.00°
Space group C2/m (No. 12)
Unique sites:
K  0.000  0.181  0.000 (multiplicity 4)
Rh  0.188  0.500  0.295 (multiplicity 4)
F  0.000  0.500  0.500 (multiplicity 2)
F  0.076  0.000  0.817 (multiplicity 4)
F  0.212  0.353  0.327 (multiplicity 8)

---

11.
Compound: La4Pr2NdMg
Source: Alexandria
Functional: PBE
Structure: optimized geometry

E_form, meV/atom: -6
Raw total energy, eV per cell: -35.68

Cell: 6.351 6.361 7.293 Å, 90.00 90.05 109.29°
Space group P-1 (No. 2)
Unique sites:
La  0.000  0.000  0.244 (multiplicity 2)
La  0.500  0.500  0.245 (multiplicity 2)
Pr  0.000  0.500  0.500 (multiplicity 1)
Pr  0.500  0.000  0.000 (multiplicity 1)
Nd  0.500  0.000  0.500 (multiplicity 1)
Mg  0.000  0.500  0.000 (multiplicity 1)

---

12.
Compound: Sm2ScCd
Source: Alexandria
Functional: PBE
Structure: optimized geometry

E_form, meV/atom: -113
Relative energy among the computed polymorphs, meV per atom: 0
Raw total energy, eV per cell: -17.14

Cell: 3.650 3.650 8.579 Å, 90.00 90.00 90.00°
Space group P4/mmm (No. 123)
Unique sites:
Sm  0.000  0.000  0.243 (multiplicity 2)
Sc  0.500  0.500  0.500 (multiplicity 1)
Cd  0.500  0.500  0.000 (multiplicity 1)

---

13.
Compound: Cs2U2NiSe6
Source: Alexandria
Functional: PBE
Structure: optimized geometry

Raw total energy, eV per cell: -123.53
Raw formation energy, meV/atom: -981

Cell: 7.598 11.191 8.653 Å, 90.00 104.26 90.00°
Space group C2/m (No. 12)
Unique sites:
Cs  0.000  0.195  0.000 (multiplicity 4)
U  0.000  0.336  0.500 (multiplicity 4)
Ni  0.000  0.000  0.500 (multiplicity 2)
Se  0.166  0.500  0.735 (multiplicity 4)
Se  0.205  0.148  0.660 (multiplicity 8)

---

14.
Compound: Zr2PbI
Source: Alexandria
Functional: PBE
Structure: optimized geometry

Relative energy among the computed polymorphs, meV per atom: 0
Raw total energy, eV per cell: -90.43
Raw formation energy, meV/atom: -63

Cell: 7.255 7.255 7.255 Å, 90.00 90.00 90.00°
Space group Fm-3m (No. 225)
Unique sites:
Zr  0.250  0.250  0.250 (multiplicity 8)
Pb  0.000  0.000  0.000 (multiplicity 4)
I  0.000  0.000  0.500 (multiplicity 4)

---

15.
Compound: In4BiPb4
Source: Alexandria
Functional: PBE
Structure: optimized geometry

E_form, meV/atom: 19
Raw total energy, eV per cell: -58.99

Cell: 10.167 10.167 5.227 Å, 90.00 90.00 90.00°
Space group I4/mmm (No. 139)
Unique sites:
In  0.000  0.338  0.000 (multiplicity 8)
Bi  0.000  0.000  0.000 (multiplicity 2)
Pb  0.168  0.168  0.500 (multiplicity 8)

---

16.
Compound: Ba2CoTe
Source: Alexandria
Functional: PBE
Structure: optimized geometry

Raw total energy, eV per cell: -15.57
Raw formation energy, meV/atom: -370

Cell: 4.201 4.201 7.930 Å, 90.00 90.00 90.00°
Space group P4/mmm (No. 123)
Unique sites:
Ba  0.000  0.000  0.243 (multiplicity 2)
Co  0.500  0.500  0.000 (multiplicity 1)
Te  0.500  0.500  0.500 (multiplicity 1)

---

17.
Compound: La2DyTh3Sb6
Source: Alexandria
Functional: PBE
Structure: optimized geometry

Raw total energy, eV per cell: -148.68
Raw formation energy, meV/atom: -1074

Cell: 19.738 4.525 9.045 Å, 90.00 103.43 90.00°
Space group C2/m (No. 12)
Unique sites:
La  0.166  0.000  0.332 (multiplicity 4)
Dy  0.000  0.500  0.000 (multiplicity 2)
Th  0.000  0.500  0.500 (multiplicity 2)
Th  0.169  0.000  0.835 (multiplicity 4)
Sb  0.003  0.000  0.756 (multiplicity 4)
Sb  0.164  0.500  0.078 (multiplicity 4)
Sb  0.165  0.500  0.586 (multiplicity 4)

---

18.
Compound: KPCl2F
Source: Alexandria
Functional: PBE
Structure: optimized geometry

Relative energy among the computed polymorphs, meV per atom: 0
Raw total energy, eV per cell: -15.67
Raw formation energy, meV/atom: -719

Cell: 5.687 5.687 3.660 Å, 90.00 90.00 90.00°
Space group P4/mmm (No. 123)
Unique sites:
K  0.000  0.000  0.000 (multiplicity 1)
P  0.500  0.500  0.000 (multiplicity 1)
Cl  0.000  0.500  0.500 (multiplicity 2)
F  0.500  0.500  0.500 (multiplicity 1)

---

19.
Compound: K3Hg7Pt2
Source: Alexandria
Functional: PBE
Structure: optimized geometry

E_form, meV/atom: -249
Relative energy among the computed polymorphs, meV per atom: 8
Raw total energy, eV per cell: -40.94

Cell: 5.373 5.373 27.997 Å, 90.00 90.00 90.00°
Space group I4/mmm (No. 139)
Unique sites:
K  0.000  0.000  0.000 (multiplicity 2)
K  0.000  0.000  0.181 (multiplicity 4)
Hg  0.000  0.000  0.304 (multiplicity 4)
Hg  0.000  0.000  0.500 (multiplicity 2)
Hg  0.000  0.500  0.096 (multiplicity 8)
Pt  0.000  0.000  0.403 (multiplicity 4)

---

20.
Compound: ZrPBr
Source: Alexandria
Functional: PBE
Structure: optimized geometry

Relative energy among the computed polymorphs, meV per atom: 605
Raw total energy, eV per cell: -16.77
Raw formation energy, meV/atom: -380

Cell: 4.6137 4.6137 3.2658 Å, 90.00 90.00 120.00°
Space group P-6m2 (No. 187)
Unique sites:
Zr  0.0000  0.0000  0.0000 (multiplicity 1)
P  0.3333  0.6667  0.5000 (multiplicity 1)
Br  0.6667  0.3333  0.0000 (multiplicity 1)

---

21.
Compound: DyY4Th3
Source: Alexandria
Functional: PBE
Structure: optimized geometry

E_form, meV/atom: 33
Raw total energy, eV per cell: -104.90

Cell: 5.048 10.117 10.139 Å, 90.00 90.00 90.00°
Space group Pmmn (No. 59, origin choice 2)
Unique sites:
Dy  0.250  0.250  0.122 (multiplicity 2)
Y  0.250  0.250  0.631 (multiplicity 2)
Y  0.250  0.501  0.371 (multiplicity 4)
Y  0.250  0.750  0.628 (multiplicity 2)
Th  0.250  0.003  0.878 (multiplicity 4)
Th  0.250  0.750  0.123 (multiplicity 2)

---

22.
Compound: K2ZrGeH
Source: Alexandria
Functional: PBE
Structure: optimized geometry

Raw total energy, eV per cell: -16.93

Cell: 4.464 4.464 5.710 Å, 90.00 90.00 90.00°
Space group P4/mmm (No. 123)
Unique sites:
K  0.000  0.500  0.000 (multiplicity 2)
Zr  0.000  0.000  0.500 (multiplicity 1)
Ge  0.500  0.500  0.500 (multiplicity 1)
H  0.000  0.000  0.000 (multiplicity 1)

---

23.
Compound: Nd2Np2N7
Source: Alexandria
Functional: PBE
Structure: optimized geometry

Raw total energy, eV per cell: -204.62
Raw formation energy, meV/atom: -783

Cell: 7.122 7.982 5.536 Å, 90.00 90.00 90.00°
Space group Cmmm (No. 65)
Unique sites:
Nd  0.249  0.000  0.000 (multiplicity 4)
Np  0.000  0.227  0.500 (multiplicity 4)
N  0.000  0.000  0.276 (multiplicity 4)
N  0.000  0.500  0.500 (multiplicity 2)
N  0.250  0.250  0.272 (multiplicity 8)